This record from Alexandria via LeMat-Bulk describes a geometry-optimized Tb5SmHo4 structure. The functional is PBE.

Calculated values
The space group is P1 (1). The calculation puts the offset from the most stable computed form at 0 meV/atom. For the energy relative to the elements, the calculation gives 0.017 eV per atom.

abc: 6.150 7.106 7.933
angles: 77.20 74.98 73.10
Fractional coordinates of all 10 atoms:
Tb  0.000  0.000  0.000
Tb  0.199  0.302  0.599
Tb  0.399  0.101  0.200
Tb  0.600  0.901  0.799
Tb  0.799  0.201  0.399
Sm  0.599  0.402  0.799
Ho  0.199  0.801  0.598
Ho  0.399  0.602  0.200
Ho  0.799  0.701  0.399
Ho  0.999  0.501  0.000

=====

This record from Alexandria via LeMat-Bulk describes a geometry-optimized TbSm2Ho4 structure. The functional is PBE.

Calculated values
The space group is P-1 (2). The calculation puts the offset from the most stable computed form at 0 meV/atom. For the energy relative to the elements, the calculation gives 0.084 eV per atom.

abc: 3.515 8.560 8.564
angles: 62.11 81.40 88.11
Fractional coordinates of all 7 atoms:
Tb  0.000  0.000  0.000
Sm  0.425  0.870  0.722
Sm  0.575  0.130  0.278
Ho  0.032  0.718  0.451
Ho  0.369  0.421  0.848
Ho  0.631  0.579  0.152
Ho  0.968  0.282  0.549

=====

This record from Alexandria via LeMat-Bulk describes a geometry-optimized Tb2Sm6Ho5 structure. The functional is PBE.

Calculated values
The space group is Pbam (55). For the energy relative to the elements, the calculation gives 0.100 eV per atom.

abc: 11.680 20.377 3.606
angles: 90.00 90.00 90.00
Fractional coordinates of all 26 atoms:
Tb  0.166  0.211  0.000
Tb  0.334  0.711  0.000
Tb  0.666  0.289  0.000
Tb  0.834  0.789  0.000
Sm  0.060  0.920  0.000
Sm  0.082  0.633  0.000
Sm  0.174  0.367  0.500
Sm  0.326  0.867  0.500
Sm  0.418  0.133  0.000
Sm  0.440  0.420  0.000
Sm  0.560  0.580  0.000
Sm  0.582  0.867  0.000
Sm  0.674  0.133  0.500
Sm  0.826  0.633  0.500
Sm  0.918  0.367  0.000
Sm  0.940  0.080  0.000
Ho  0.000  0.500  0.500
Ho  0.092  0.774  0.500
Ho  0.199  0.054  0.500
Ho  0.301  0.554  0.500
Ho  0.408  0.274  0.500
Ho  0.500  0.000  0.500
Ho  0.592  0.726  0.500
Ho  0.699  0.446  0.500
Ho  0.801  0.946  0.500
Ho  0.908  0.226  0.500

=====

Let's list calculated volume in order: 316; 225; 858 Å³/cell.
Let's list D(E_F) in order: 13.4; 11.1; 15.3 states/eV/f.u..